Here is a relaxed FeRe2O6 crystal from Alexandria via LeMat-Bulk. Energies are from PBE+U.

Cell lengths 4.818, 4.818, 8.532 Å; angles 90.00, 90.00, 90.00 degrees
Atoms (fractional coordinates):
Fe (0.000, 0.000, 0.000)
Fe (0.500, 0.500, 0.500)
Re (0.000, 0.000, 0.347)
Re (0.000, 0.000, 0.653)
Re (0.500, 0.500, 0.153)
Re (0.500, 0.500, 0.847)
O (0.215, 0.215, 0.177)
O (0.215, 0.215, 0.500)
O (0.215, 0.215, 0.823)
O (0.285, 0.715, 0.000)
O (0.285, 0.715, 0.323)
O (0.285, 0.715, 0.677)
O (0.715, 0.285, 0.000)
O (0.715, 0.285, 0.323)
O (0.715, 0.285, 0.677)
O (0.785, 0.785, 0.177)
O (0.785, 0.785, 0.500)
O (0.785, 0.785, 0.823)

Its space-group type is P4_2/mnm. For the total energy, the calculation gives -146.03 eV/cell.